{
  "formula": "La2PW",
  "functional": "SCAN",
  "state": "PBEsol geometry",
  "e_above_lowest_polymorph_ev_per_atom": 0.275,
  "dft_energy_ev_per_cell": -164.768,
  "formation_energy_ev_per_atom": 0.38,
  "m_tot_mub_per_cell": 0.76,
  "space_group": "F-43m, No. 216",
  "cell": [[4.899, 0.000, 0.000], [2.449, 4.243, 0.000], [2.449, 1.414, 4.000]],
  "species": ["La", "La", "P", "W"],
  "frac_coords": [[0.000, 0.000, 0.000], [0.750, 0.750, 0.750], [0.500, 0.500, 0.500], [0.250, 0.250, 0.250]]
}